Entry from the Alexandria database: a relaxed structure of GaMoI2O (PBE+U).

Lattice parameters (Å, degrees): 5.872 5.872 3.668 90.00 90.00 90.00
Space group P4/mmm (No. 123)
Asymmetric unit:
Ga1 0.000 0.000 0.000
Mo1 0.500 0.500 0.500
I1 0.000 0.500 0.000
O1 0.000 0.000 0.500

Calculated values
Density, g cm⁻³: 5.72
DFT total energy, eV per formula unit: -18.7